Tl4CdHg2Pb2 | Alexandria | GGA-PBE | relaxed; SG = P-1, No. 2; spin magnetization = 0.0 μB/f.u.; energy of formation = 0.0413 eV/atom; energy = -2.003 eV per atom
1.0
6.2944 0.0000 0.0000
1.2179 6.7666 0.0000
2.6161 1.1677 6.3345
Tl Cd Hg Pb
4 1 2 2
Direct
0.2096 0.1566 0.3030
0.2267 0.1007 0.7935
0.7733 0.8993 0.2065
0.7904 0.8434 0.6970
0.0000 0.5000 0.0000
0.3553 0.6846 0.6072
0.6447 0.3154 0.3928
0.3305 0.6722 0.1537
0.6695 0.3278 0.8463

=====

IrRhAu2 | Alexandria | GGA-PBE | relaxed; SG = I-4m2, No. 119; spin magnetization = 1.0 μB/f.u.; excess energy over the best structure of this formula in the dataset = 191 meV/atom; energy of formation = 0.3329 eV/atom; energy = -5.359 eV per atom
1.0
-2.0102 2.0102 3.9884
2.0102 -2.0102 3.9884
2.0102 2.0102 -3.9884
Ir Rh Au
1 1 2
Direct
0.0000 0.0000 0.0000
0.2500 0.7500 0.5000
0.5000 0.5000 0.0000
0.7500 0.2500 0.5000

=====

Pm2Si4Ru5 | Alexandria | GGA-PBE | relaxed; SG = Fmmm, No. 69; ΔE_f (raw) = -0.747 eV per atom; spin magnetization = 0.0 μB/f.u.; energy = -7.799 eV per atom
1.0
0.0000 5.0549 6.4290
2.9319 0.0000 6.4290
2.9319 5.0549 0.0000
Pm Si Ru
2 4 5
Direct
0.1308 0.1308 0.8692
0.8692 0.8692 0.1308
0.2154 0.5171 0.4829
0.4829 0.7846 0.2154
0.5171 0.2154 0.7846
0.7846 0.4829 0.5171
0.0000 0.0000 0.5000
0.2500 0.2500 0.2500
0.5000 0.5000 0.0000
0.5000 0.5000 0.5000
0.7500 0.7500 0.7500

=====

Mn2ZnMo | Alexandria | GGA-PBE | relaxed; SG = Cmmm, No. 65; spin magnetization = 4.6 μB/f.u.; energy of formation = 0.1611 eV/atom; energy = -7.450 eV per atom
1.0
1.6400 -2.0801 0.0000
1.6400 2.0801 0.0000
0.0000 0.0000 8.0795
Mn Zn Mo
2 1 1
Direct
0.0000 0.0000 0.2478
0.0000 0.0000 0.7522
0.5000 0.5000 0.0000
0.5000 0.5000 0.5000

=====

PtPb2 | Alexandria | GGA-PBE | relaxed; SG = Pnnm, No. 58; spin magnetization = 0.0 μB/f.u.; energy of formation = -0.1453 eV/atom; energy = -4.631 eV per atom
1.0
6.3609 0.0000 0.0000
0.0000 6.7356 0.0000
0.0000 0.0000 3.7813
Pt Pb
2 4
Direct
0.0000 0.0000 0.0000
0.5000 0.5000 0.5000
0.2090 0.3650 0.0000
0.2910 0.8650 0.5000
0.7090 0.1350 0.5000
0.7910 0.6350 0.0000

=====

Tb4Th3Tc2 | Alexandria | GGA-PBE | relaxed; SG = C2/m, No. 12; spin magnetization = 0.0 μB/f.u.; energy of formation = -0.0528 eV/atom; energy = -6.888 eV per atom
1.0
8.4338 -1.9470 0.0000
8.4338 1.9470 0.0000
-3.6571 0.0000 8.0796
Tb Th Tc
4 3 2
Direct
0.1144 0.1144 0.3680
0.2741 0.2741 0.8527
0.7259 0.7259 0.1473
0.8856 0.8856 0.6320
0.4153 0.4153 0.3101
0.5000 0.5000 0.0000
0.5847 0.5847 0.6899
0.1000 0.1000 0.9184
0.9000 0.9000 0.0816

=====

- Which of these has the highest spin magnetization?
  Mn2ZnMo

=====

- What is the spin magnetization in the first record?
  0.0 μB/f.u.